Entry 1:
The following is a PBE calculation of crystalline Hf3Co2Ru at its relaxed geometry, from Alexandria via LeMat-Bulk.

## Properties
The calculation puts the calculated density at 12.9 g/cm³. The density of states at the Fermi level is 4.26 states/eV/cell. The final energy is -9.41 eV/atom. The calculated formation energy is -0.522 eV/atom.

The structure in extended XYZ format:
```
6
Lattice="3.1924 0.0000 0.0000 0.0000 3.1924 0.0000 0.0000 0.0000 9.5455" Properties=species:S:1:pos:R:3 pbc="T T T"
Ru 1.5962 1.5962 4.7728
Hf 0.0000 0.0000 3.1278
Hf 0.0000 0.0000 6.4178
Hf 0.0000 0.0000 0.0000
Co 1.5962 1.5962 1.5666
Co 1.5962 1.5962 7.9789
```

Entry 2:
The following is a PBE calculation of crystalline ZnReAs2Se at its relaxed geometry, from Alexandria via LeMat-Bulk.

## Properties
The calculation puts the calculated density at 7.5 g/cm³. The density of states at the Fermi level is 3.26 states/eV/cell. The final energy is -3.86 eV/atom. The raw formation energy comes out at 7.19 eV per formula unit.

The structure in extended XYZ format:
```
5
Lattice="4.6971 0.0000 0.0000 0.0000 4.6971 0.0000 0.0000 0.0000 4.8531" Properties=species:S:1:pos:R:3 pbc="T T T"
Zn 0.0000 0.0000 0.0000
As 0.0000 2.3486 0.0000
As 2.3486 0.0000 0.0000
Se 0.0000 0.0000 2.4266
Re 2.3486 2.3486 2.4266
```

Entry 3:
The following is a PBE calculation of crystalline ZrPdRh at its relaxed geometry, from Alexandria via LeMat-Bulk.

## Properties
The calculation puts the calculated density at 9.8 g/cm³. The density of states at the Fermi level is 3.23 states/eV/cell. The final energy is -7.72 eV/atom. The calculated formation energy is -0.694 eV/atom.

The structure in extended XYZ format:
```
6
Lattice="-3.3203 3.6330 0.3157 -1.4730 -4.2658 -2.0672 0.7956 -1.0058 5.1045" Properties=species:S:1:pos:R:3 pbc="T T T"
Pd -1.3996 -4.1884 -0.6977
Pd -2.5980 2.5498 4.0507
Zr -1.9695 -1.5507 0.1196
Zr -2.0280 -0.0878 3.2335
Rh -1.3848 -2.6832 2.5198
Rh -2.6128 1.0447 0.8333
```

Entry 4:
The following is a PBE calculation of crystalline La2AgMo at its relaxed geometry, from Alexandria via LeMat-Bulk.

## Properties
The calculation puts the calculated density at 7.7 g/cm³. The density of states at the Fermi level is 3.95 states/eV/cell. The final energy is -5.64 eV/atom. The calculated formation energy is 0.239 eV/atom.

The structure in extended XYZ format:
```
4
Lattice="5.0896 0.0000 0.0000 0.0000 3.6625 0.0298 0.0000 1.2015 5.5711" Properties=species:S:1:pos:R:3 pbc="T T T"
Ag 2.5448 3.1153 4.4928
Mo 0.0000 2.8283 2.1323
La 2.5448 1.3475 2.0438
La 0.0000 1.2065 5.3037
```

Entry 5:
The following is a PBE calculation of crystalline AcScZn2Pd5 at its relaxed geometry, from Alexandria via LeMat-Bulk.

## Properties
The calculation puts the calculated density at 9.0 g/cm³. The density of states at the Fermi level is 5.88 states/eV/cell. The final energy is -4.87 eV/atom. The calculated formation energy is -0.539 eV/atom.

The structure in extended XYZ format:
```
9
Lattice="-2.6995 -0.8104 3.7820 -2.8811 -2.6558 -2.6255 4.2199 -6.2348 1.6761" Properties=species:S:1:pos:R:3 pbc="T T T"
Pd -0.3720 -1.8498 2.2793
Pd 1.8017 -6.1181 -0.0250
Pd -0.4628 -2.7725 -0.9244
Pd -0.6803 -4.8505 1.4163
Pd 1.8925 -5.1954 3.1787
Zn -2.1364 -2.6992 0.8379
Zn 0.7758 -7.0019 1.9946
Sc 0.0000 0.0000 0.0000
Ac 2.1100 -3.1174 0.8380
```

Entry 6:
The following is a PBE calculation of crystalline CdRu2Br at its relaxed geometry, from Alexandria via LeMat-Bulk.

## Properties
The calculation puts the calculated density at 9.3 g/cm³. The density of states at the Fermi level is 4.52 states/eV/cell. The final energy is -4.56 eV/atom. The raw formation energy comes out at 2.91 eV per formula unit.

The structure in extended XYZ format:
```
4
Lattice="5.7281 -0.0053 -0.0006 3.0009 4.8792 0.0006 -3.7713 -3.4994 2.5186" Properties=species:S:1:pos:R:3 pbc="T T T"
Cd 1.7882 1.9034 1.2596
Br 4.6304 2.5854 0.0000
Ru 3.1818 -0.5221 1.2590
Ru 8.4509 4.7186 0.0000
```

Number 4 is which compound? La2AgMo

Among the records above, which one has the lowest calculated density? ZnReAs2Se